# 1
A geometry-optimized PrHoPdRh structure. Source: Alexandria via LeMat-Bulk, functional PBE-GGA.

Cell lengths 3.7960, 4.4877, 5.6946 Å; angles 90.00, 109.47, 90.00 degrees
Positions (direct):
Pd1 0.5818 0.5000 0.1635
Pr1 0.1439 0.0000 0.2877
Rh1 0.4090 0.0000 0.8181
Ho1 0.8653 0.5000 0.7307

## Properties
energy of formation from the pure elements = -0.798 eV per atom
M_tot = 0.0 Bohr magnetons per cell
relative energy among the computed polymorphs = 0.000 eV/atom



# 2
A geometry-optimized Pr2HoSb3Pd4 structure. Source: Alexandria via LeMat-Bulk, functional PBE-GGA.

Cell lengths 4.5032, 4.5032, 11.5884 Å; angles 90.00, 90.00, 90.00 degrees
Positions (direct):
Sb1 0.0000 0.5000 0.1313
Sb2 0.5000 0.0000 0.8687
Sb3 0.0000 0.0000 0.5000
Pr1 0.5000 0.0000 0.2133
Pr2 0.0000 0.5000 0.7867
Ho1 0.5000 0.5000 0.5000
Pd1 0.5000 0.5000 0.0000
Pd2 0.0000 0.0000 0.0000
Pd3 0.0000 0.5000 0.3565
Pd4 0.5000 0.0000 0.6435

## Properties
ΔE_f (raw) = -0.920 eV per atom
M_tot = 0.0 Bohr magnetons per cell



# 3
A geometry-optimized PrHoSi2Pd5 structure. Source: Alexandria via LeMat-Bulk, functional PBE-GGA.

Cell lengths 4.2267, 4.2267, 9.0346 Å; angles 90.00, 90.00, 90.00 degrees
Positions (direct):
Pd1 0.5000 0.5000 0.5000
Pd2 0.5000 0.0000 0.2613
Pd3 0.5000 0.0000 0.7387
Pd4 0.0000 0.5000 0.7387
Pd5 0.0000 0.5000 0.2613
Ho1 0.0000 0.0000 0.0000
Pr1 0.0000 0.0000 0.5000
Si1 0.5000 0.5000 0.1298
Si2 0.5000 0.5000 0.8702

## Properties
ΔE_f (raw) = -0.877 eV per atom
M_tot = 0.0 Bohr magnetons per cell



# 4
A geometry-optimized Pr2HoSn3Pd4 structure. Source: Alexandria via LeMat-Bulk, functional PBE-GGA.

Cell lengths 4.6043, 4.6043, 11.1026 Å; angles 90.00, 90.00, 90.00 degrees
Positions (direct):
Pd1 0.5000 0.5000 0.0000
Pd2 0.0000 0.5000 0.3585
Pd3 0.5000 0.0000 0.6415
Pd4 0.0000 0.0000 0.0000
Ho1 0.5000 0.5000 0.5000
Pr1 0.0000 0.5000 0.7766
Pr2 0.5000 0.0000 0.2234
Sn1 0.5000 0.0000 0.8755
Sn2 0.0000 0.5000 0.1245
Sn3 0.0000 0.0000 0.5000

## Properties
energy of formation from the pure elements = -0.814 eV per atom
M_tot = 0.0 Bohr magnetons per cell